Nd2Ga3HgPd4: optimized geometry, PBE.

```
10
Lattice="4.135 0.000 0.000 0.000 4.135 0.000 0.000 0.000 11.749" Properties=species:S:1:pos:R:3 pbc="T T T"
Nd 0.000 2.068 2.923
Nd 2.068 0.000 8.826
Ga 0.000 2.068 10.264
Ga 2.068 0.000 1.485
Ga 2.068 2.068 5.875
Hg 0.000 0.000 5.875
Pd 0.000 0.000 0.000
Pd 0.000 2.068 7.765
Pd 2.068 0.000 3.984
Pd 2.068 2.068 0.000
```

E_form in meV per atom: -701
V in Å³ per atom: 20.1
Density of states at the Fermi level in states/eV per atom: 0.60
E in Ry per atom: -0.343


PmNdGaHg: optimized geometry, PBE.

```
4
Lattice="3.675 0.000 0.000 0.000 3.675 0.000 0.000 0.000 7.829" Properties=species:S:1:pos:R:3 pbc="T T T"
Pm 0.000 0.000 0.000
Nd 0.000 0.000 3.679
Ga 1.838 1.838 1.819
Hg 1.838 1.838 5.791
```

E_form in meV per atom: -519
V in Å³ per atom: 26.4
Density of states at the Fermi level in states/eV per atom: 0.77
E in Ry per atom: -0.274
Relative energy among the computed polymorphs in meV/atom: 0


PmNdGaHg: optimized geometry, PBE.

```
4
Lattice="0.000 3.770 3.770 3.770 0.000 3.770 3.770 3.770 0.000" Properties=species:S:1:pos:R:3 pbc="T T T"
Pm 0.000 0.000 0.000
Nd 3.770 3.770 3.770
Ga 1.885 1.885 1.885
Hg 5.655 5.655 5.655
```

E_form in meV per atom: -499
V in Å³ per atom: 26.8
Density of states at the Fermi level in states/eV per atom: 1.32
E in Ry per atom: -0.273
Relative energy among the computed polymorphs in meV/atom: 20